# AcPu2Sn

A geometry-optimized AcPu2Sn structure (PBE, the Alexandria database).

Structure (POSCAR):
```
AcPu2Sn
1.0
0.000 3.879 3.879
3.879 0.000 3.879
3.879 3.879 0.000
Ac Pu Sn
1 2 1
Cartesian
0.000 0.000 0.000 Ac
1.939 1.939 1.939 Pu
5.818 5.818 5.818 Pu
3.879 3.879 3.879 Sn
```

spin magnetization	13.9	μB per formula unit
calculated formation energy	16	meV/atom
uncorrected energy	-36.7	eV for the cell shown


# Pm4Cu2Hg

A geometry-optimized Pm4Cu2Hg structure (PBE, the Alexandria database).

Structure (POSCAR):
```
Pm4Cu2Hg
1.0
2.488 1.437 9.119
-2.488 1.437 9.119
0.000 -2.873 9.119
Pm Cu Hg
4 2 1
Cartesian
0.000 0.000 3.219 Pm
0.000 0.000 8.085 Pm
0.000 0.000 19.272 Pm
0.000 0.000 24.138 Pm
0.000 0.000 10.978 Cu
0.000 0.000 16.379 Cu
0.000 0.000 13.679 Hg
```

spin magnetization	0.0	μB per formula unit
calculated formation energy	-58	meV/atom
uncorrected energy	-27.9	eV for the cell shown


# Ni13Ir3

A geometry-optimized Ni13Ir3 structure (PBE, the Alexandria database).

Structure (POSCAR):
```
Ni13Ir3
1.0
7.153 0.000 0.000
0.000 3.611 3.620
0.000 -3.611 3.620
Ni Ir
13 3
Cartesian
0.000 0.000 0.000 Ni
0.000 -1.831 1.845 Ni
0.000 1.831 1.845 Ni
0.000 0.000 3.689 Ni
1.770 -1.794 3.652 Ni
1.770 1.794 3.652 Ni
1.773 0.000 5.448 Ni
3.576 -1.833 1.849 Ni
3.576 0.000 3.672 Ni
3.576 1.833 1.849 Ni
5.380 0.000 5.448 Ni
5.383 -1.794 3.652 Ni
5.383 1.794 3.652 Ni
1.757 0.000 1.858 Ir
3.576 0.000 0.013 Ir
5.396 0.000 1.858 Ir
```

spin magnetization	8.9	μB per formula unit
calculated formation energy	25	meV/atom
uncorrected energy	-101.3	eV for the cell shown


# Co2BiPt2

A geometry-optimized Co2BiPt2 structure (PBE, the Alexandria database).

Structure (POSCAR):
```
Co2BiPt2
1.0
6.719 0.000 0.000
0.000 6.719 0.000
0.000 0.000 3.599
Co Bi Pt
4 2 4
Cartesian
0.849 2.510 0.000 Co
2.510 5.869 0.000 Co
4.209 0.849 0.000 Co
5.869 4.209 0.000 Co
0.000 0.000 0.000 Bi
3.359 3.359 0.000 Bi
1.029 4.389 1.800 Pt
2.330 1.029 1.800 Pt
4.389 5.690 1.800 Pt
5.690 2.330 1.800 Pt
```

spin magnetization	3.4	μB per formula unit
calculated formation energy	178	meV/atom
uncorrected energy	-58.6	eV for the cell shown


# SmHoGaPt

A geometry-optimized SmHoGaPt structure (PBE, the Alexandria database).

Structure (POSCAR):
```
SmHoGaPt
1.0
0.000 3.571 3.571
3.571 0.000 3.571
3.571 3.571 0.000
Sm Ho Ga Pt
1 1 1 1
Cartesian
0.000 0.000 0.000 Sm
3.571 3.571 3.571 Ho
5.357 5.357 5.357 Ga
1.786 1.786 1.786 Pt
```

spin magnetization	0.0	μB per formula unit
calculated formation energy	-826	meV/atom
uncorrected energy	-21.7	eV for the cell shown


# GePbS3

A geometry-optimized GePbS3 structure (PBE, the Alexandria database).

Structure (POSCAR):
```
GePbS3
1.0
7.563 0.000 0.000
0.000 10.634 0.000
-1.809 0.000 6.714
Ge Pb S
4 4 12
Cartesian
1.405 2.239 0.080 Ge
0.501 3.078 3.437 Ge
5.253 7.556 3.277 Ge
4.348 8.394 6.634 Ge
2.416 6.171 1.494 Pb
1.511 9.779 4.851 Pb
4.242 0.854 1.863 Pb
3.338 4.462 5.220 Pb
-1.432 7.727 5.378 S
-0.527 8.223 2.021 S
1.935 0.134 0.532 S
1.031 5.183 3.889 S
2.260 1.842 3.969 S
3.165 3.474 0.611 S
2.589 7.159 6.103 S
3.493 8.791 2.746 S
4.723 5.451 2.825 S
3.818 10.500 6.182 S
6.281 2.410 4.694 S
7.185 2.906 1.336 S
```

spin magnetization	0.0	μB per formula unit
uncorrected formation energy	-0.439	eV per atom
uncorrected energy	-91.6	eV for the cell shown


# InSbPt2Au

A geometry-optimized InSbPt2Au structure (PBE, the Alexandria database).

Structure (POSCAR):
```
InSbPt2Au
1.0
4.990 0.000 0.000
0.000 4.990 0.000
0.000 0.000 5.020
In Sb Pt Au
1 1 2 1
Cartesian
0.000 0.000 0.000 In
2.495 2.495 2.510 Sb
0.000 2.495 0.000 Pt
2.495 0.000 0.000 Pt
0.000 0.000 2.510 Au
```

spin magnetization	0.0	μB per formula unit
uncorrected formation energy	0.749	eV per atom
uncorrected energy	-18.5	eV for the cell shown


# Zr2Sn2Os

A geometry-optimized Zr2Sn2Os structure (PBE, the Alexandria database).

Structure (POSCAR):
```
Zr2Sn2Os
1.0
-1.964 1.964 7.162
1.964 -1.964 7.162
1.964 1.964 -7.162
Zr Sn Os
2 2 1
Cartesian
1.964 0.000 3.581 Zr
0.000 1.964 3.581 Zr
0.000 0.000 1.316 Sn
0.000 0.000 13.007 Sn
0.000 0.000 7.162 Os
```

spin magnetization	0.0	μB per formula unit
calculated formation energy	751	meV/atom
uncorrected energy	-32.6	eV for the cell shown


# ZnTcOsW

A geometry-optimized ZnTcOsW structure (PBE, the Alexandria database).

Structure (POSCAR):
```
ZnTcOsW
1.0
0.000 3.090 3.090
3.090 0.000 3.090
3.090 3.090 0.000
Zn Tc Os W
1 1 1 1
Cartesian
0.000 0.000 0.000 Zn
1.545 1.545 1.545 Tc
4.635 4.635 4.635 Os
3.090 3.090 3.090 W
```

spin magnetization	0.0	μB per formula unit
calculated formation energy	48	meV/atom
uncorrected energy	-35.6	eV for the cell shown


# LaTm3As4

A geometry-optimized LaTm3As4 structure (PBE, the Alexandria database).

Structure (POSCAR):
```
LaTm3As4
1.0
4.146 -5.858 0.000
4.146 5.858 0.000
0.000 0.000 4.148
La Tm As
1 3 4
Cartesian
0.000 0.000 0.000 La
2.073 2.929 2.074 Tm
2.073 -2.929 2.074 Tm
4.146 0.000 0.000 Tm
4.146 2.863 0.000 As
2.168 0.000 2.074 As
6.124 0.000 2.074 As
4.146 -2.863 0.000 As
```

spin magnetization	0.0	μB per formula unit
calculated formation energy	-1499	meV/atom
uncorrected energy	-48.9	eV for the cell shown


# Dy2Re3Si5

A geometry-optimized Dy2Re3Si5 structure (PBE, the Alexandria database).

Structure (POSCAR):
```
Dy2Re3Si5
1.0
10.992 0.000 0.000
0.000 10.992 0.000
0.000 0.000 5.519
Dy Re Si
8 12 20
Cartesian
0.852 2.607 0.000 Dy
2.607 10.140 0.000 Dy
2.889 4.644 2.760 Dy
4.644 8.103 2.760 Dy
6.348 2.889 2.760 Dy
8.103 6.348 2.760 Dy
8.386 0.852 0.000 Dy
10.140 8.386 0.000 Dy
0.000 5.496 1.380 Re
0.000 5.496 4.139 Re
1.352 9.375 2.760 Re
1.617 1.352 2.760 Re
3.879 6.848 0.000 Re
4.144 3.879 0.000 Re
5.496 0.000 1.380 Re
5.496 0.000 4.139 Re
6.848 7.113 0.000 Re
7.113 4.144 0.000 Re
9.375 9.640 2.760 Re
9.640 1.617 2.760 Re
0.000 0.000 1.333 Si
0.000 0.000 4.187 Si
0.314 3.452 2.760 Si
1.894 7.390 1.380 Si
1.894 7.390 4.139 Si
2.044 5.182 0.000 Si
3.452 10.678 2.760 Si
3.602 1.894 1.380 Si
3.602 1.894 4.139 Si
5.182 8.948 0.000 Si
5.496 5.496 1.427 Si
5.496 5.496 4.092 Si
5.810 2.044 0.000 Si
7.390 9.098 1.380 Si
7.390 9.098 4.139 Si
7.540 0.314 2.760 Si
8.948 5.810 0.000 Si
9.098 3.602 1.380 Si
9.098 3.602 4.139 Si
10.678 7.540 2.760 Si
```

spin magnetization	0.0	μB per formula unit
uncorrected formation energy	-0.595	eV per atom
uncorrected energy	-318.4	eV for the cell shown


# Mg4HIr3

A geometry-optimized Mg4HIr3 structure (PBE, the Alexandria database).

Structure (POSCAR):
```
Mg4HIr3
1.0
4.114 -3.444 0.000
4.114 3.444 0.000
-1.957 0.000 4.742
Mg H Ir
4 1 3
Cartesian
0.000 0.000 0.000 Mg
4.439 1.767 2.778 Mg
4.716 0.000 0.091 Mg
4.439 -1.767 2.778 Mg
0.620 0.000 4.307 H
2.372 1.274 0.850 Ir
2.372 -1.274 0.850 Ir
6.444 0.000 2.076 Ir
```

spin magnetization	0.0	μB per formula unit
uncorrected energy	-38.2	eV for the cell shown


# Sc2InSn2

A geometry-optimized Sc2InSn2 structure (PBE, the Alexandria database).

Structure (POSCAR):
```
Sc2InSn2
1.0
8.668 0.000 0.000
0.000 8.668 0.000
0.000 0.000 3.280
Sc In Sn
4 2 4
Cartesian
1.197 3.137 0.000 Sc
3.137 7.471 0.000 Sc
5.531 1.197 0.000 Sc
7.471 5.531 0.000 Sc
0.000 0.000 1.640 In
4.334 4.334 1.640 In
1.377 5.711 1.640 Sn
2.957 1.377 1.640 Sn
5.711 7.291 1.640 Sn
7.291 2.957 1.640 Sn
```

spin magnetization	0.0	μB per formula unit
calculated formation energy	-386	meV/atom
uncorrected energy	-50.7	eV for the cell shown


# NaCo3Ir

A geometry-optimized NaCo3Ir structure (PBE, the Alexandria database).

Structure (POSCAR):
```
NaCo3Ir
1.0
4.184 0.000 0.000
0.000 4.184 0.000
0.000 0.000 4.184
Na Co Ir
1 3 1
Cartesian
0.000 0.000 0.000 Na
0.000 0.000 2.092 Co
0.000 2.092 0.000 Co
2.092 0.000 0.000 Co
2.092 2.092 2.092 Ir
```

spin magnetization	6.2	μB per formula unit
calculated formation energy	1948	meV/atom
uncorrected energy	-21.8	eV for the cell shown


# Be2AuCl

A geometry-optimized Be2AuCl structure (PBE, the Alexandria database).

Structure (POSCAR):
```
Be2AuCl
1.0
2.947 0.000 0.000
0.000 3.189 0.000
0.000 0.000 6.266
Be Au Cl
2 1 1
Cartesian
0.000 0.000 1.253 Be
0.000 0.000 5.013 Be
1.474 1.595 0.000 Au
1.474 0.000 3.133 Cl
```

spin magnetization	0.0	μB per formula unit
uncorrected formation energy	-0.072	eV per atom
uncorrected energy	-12.9	eV for the cell shown


# Nd7MnBr12

A geometry-optimized Nd7MnBr12 structure (PBE, the Alexandria database).

Structure (POSCAR):
```
Nd7MnBr12
1.0
7.645 4.414 3.591
-7.645 4.414 3.591
0.000 -8.827 3.591
Nd Mn Br
7 1 12
Cartesian
0.000 0.000 0.000 Nd
-1.567 -1.610 3.864 Nd
-0.611 2.162 3.864 Nd
2.178 -0.552 3.864 Nd
-2.178 0.552 6.909 Nd
0.611 -2.162 6.909 Nd
1.567 1.610 6.909 Nd
0.000 0.000 5.386 Mn
-2.245 0.591 1.771 Br
0.611 -2.240 1.771 Br
-4.107 -1.088 5.313 Br
-1.111 -4.101 5.460 Br
1.634 1.649 1.771 Br
-2.996 3.012 5.460 Br
2.996 -3.012 5.313 Br
-1.634 -1.649 9.002 Br
1.111 4.101 5.313 Br
4.107 1.088 5.460 Br
-0.611 2.240 9.002 Br
2.245 -0.591 9.002 Br
```

spin magnetization	2.0	μB per formula unit
uncorrected formation energy	-1.526	eV per atom
uncorrected energy	-93.1	eV for the cell shown


# AsWSeBr2

A geometry-optimized AsWSeBr2 structure (PBE, the Alexandria database).

Structure (POSCAR):
```
AsWSeBr2
1.0
5.090 0.000 0.000
0.000 5.090 0.000
0.000 0.000 5.414
As W Se Br
1 1 1 2
Cartesian
0.000 0.000 0.000 As
2.545 2.545 2.707 W
0.000 0.000 2.707 Se
0.000 2.545 0.000 Br
2.545 0.000 0.000 Br
```

spin magnetization	4.7	μB per formula unit
uncorrected formation energy	1.246	eV per atom
uncorrected energy	-18.2	eV for the cell shown


# P2Os

A geometry-optimized P2Os structure (PBE, the Alexandria database).

Structure (POSCAR):
```
P2Os
1.0
3.126 0.000 0.000
-1.563 2.707 0.000
0.000 0.000 5.001
P Os
2 1
Cartesian
0.000 1.805 1.647 P
1.563 0.902 3.354 P
0.000 0.000 0.000 Os
```

spin magnetization	0.0	μB per formula unit
calculated formation energy	70	meV/atom
uncorrected energy	-21.8	eV for the cell shown


# AlB3H12

A geometry-optimized AlB3H12 structure (PBE, the Alexandria database).

Structure (POSCAR):
```
AlB3H12
1.0
17.491 0.000 0.000
0.000 6.131 0.000
0.000 0.000 6.192
Al B H
4 12 48
Cartesian
2.279 0.949 0.000 Al
6.467 4.014 3.096 Al
11.024 2.116 0.000 Al
15.212 5.182 3.096 Al
1.502 0.088 4.402 B
1.517 2.706 0.899 B
3.882 6.104 1.035 B
4.863 3.039 4.131 B
7.228 5.771 3.995 B
7.244 3.153 1.306 B
10.247 2.978 4.402 B
10.263 0.359 0.899 B
12.627 3.092 1.035 B
13.609 0.026 4.131 B
15.974 3.424 3.995 B
15.989 6.043 1.306 B
0.435 0.557 4.113 H
0.791 3.563 0.486 H
0.834 1.642 0.770 H
1.380 5.689 5.547 H
1.954 2.748 2.018 H
2.009 5.368 3.726 H
2.332 1.048 4.414 H
2.497 2.710 0.089 H
2.680 6.099 1.432 H
4.045 0.682 6.190 H
4.143 4.972 0.724 H
4.233 3.580 4.999 H
4.513 0.515 1.903 H
4.603 1.906 3.820 H
4.700 3.747 3.094 H
6.066 3.034 4.528 H
6.248 5.775 3.185 H
6.413 4.113 1.318 H
6.737 2.303 0.630 H
6.791 5.813 5.114 H
7.365 2.623 2.451 H
7.912 4.708 3.866 H
7.954 0.498 3.582 H
8.311 3.622 1.017 H
9.180 2.509 4.113 H
9.537 5.633 0.486 H
9.579 1.423 0.770 H
10.126 3.507 5.547 H
10.700 0.318 2.018 H
10.754 3.828 3.726 H
11.078 2.017 4.414 H
11.243 0.355 0.089 H
11.425 3.097 1.432 H
12.790 2.384 6.190 H
12.888 4.224 0.724 H
12.978 5.616 4.999 H
13.258 2.550 1.903 H
13.348 1.159 3.820 H
13.446 5.449 3.094 H
14.811 0.031 4.528 H
14.994 3.420 3.185 H
15.159 5.083 1.318 H
15.482 0.762 0.630 H
15.537 3.383 5.114 H
16.111 0.442 2.451 H
16.657 4.488 3.866 H
16.700 2.567 3.582 H
17.056 5.574 1.017 H
```

spin magnetization	0.0	μB per formula unit
uncorrected energy	-263.1	eV for the cell shown


# BaSc2Al

A geometry-optimized BaSc2Al structure (PBE, the Alexandria database).

Structure (POSCAR):
```
BaSc2Al
1.0
0.000 3.807 3.807
3.807 0.000 3.807
3.807 3.807 0.000
Ba Sc Al
1 2 1
Cartesian
0.000 0.000 0.000 Ba
3.807 3.807 3.807 Sc
5.710 5.710 5.710 Sc
1.903 1.903 1.903 Al
```

spin magnetization	0.6	μB per formula unit
calculated formation energy	205	meV/atom
uncorrected energy	-17.5	eV for the cell shown